LiCrSb2 | PBE | optimized geometry

Unit cell a=3.2796 b=3.2796 c=7.9176 alpha=90.00 beta=90.00 gamma=98.22
Site moments in Bohr magnetons follow the coordinates.
Element x y z (fractional)
Cr  0.5000  0.5000  0.2500  3.10
Li  0.5000  0.5000  0.7500  0.00
Sb  0.0000  0.0000  0.0213  -0.08
Sb  0.0000  0.0000  0.4787  -0.08

Properties
**Formation energy (no corrections)**: -36 meV/atom
**Calculated volume**: 84 Å³ per cell
**ρ**: 5.96 Mg/m³